Record 1
# Mg2ICl3

Crystalline Mg2ICl3 at its relaxed geometry (GGA-PBE, Alexandria via LeMat-Bulk).

Results
Magnetic moment = 0.000 μB/atom
Formation energy without anion corrections = -1637.8 meV/atom
DOS at the Fermi energy = 0.00 states/eV per atom

Cell: 7.572 7.572 7.153 Å, 90.00 90.00 120.00°
Positions (direct):
1 Mg 0.000 0.000 0.000
2 Mg 0.000 0.500 0.000
3 Mg 0.500 0.000 0.000
4 Mg 0.500 0.500 0.000
5 I 0.333 0.667 0.735
6 I 0.667 0.333 0.265
7 Cl 0.168 0.337 0.183
8 Cl 0.168 0.832 0.183
9 Cl 0.337 0.168 0.817
10 Cl 0.663 0.832 0.183
11 Cl 0.832 0.168 0.817
12 Cl 0.832 0.663 0.817


Record 2
# MgI2Cl

Crystalline MgI2Cl at its relaxed geometry (GGA-PBE, Alexandria via LeMat-Bulk).

Results
Magnetic moment = 0.250 μB/atom
Energy above the most stable polymorph in this dataset = 0.000 eV per atom
Formation energy without anion corrections = -480.9 meV/atom
DOS at the Fermi energy = 1.61 states/eV per atom

Cell: 7.630 7.630 7.630 Å, 117.54 117.54 94.32°
Positions (direct):
1 Mg 0.000 0.000 0.000
2 Mg 0.750 0.250 0.500
3 I 0.059 0.625 0.934
4 I 0.375 0.309 0.434
5 I 0.691 0.125 0.066
6 I 0.875 0.941 0.566
7 Cl 0.250 0.750 0.500
8 Cl 0.500 0.500 0.000


Record 3
# MgI3Cl

Crystalline MgI3Cl at its relaxed geometry (GGA-PBE, Alexandria via LeMat-Bulk).

Results
Magnetic moment = 0.398 μB/atom
Formation energy without anion corrections = -204.7 meV/atom
DOS at the Fermi energy = 1.36 states/eV per atom

Cell: 5.703 5.703 5.703 Å, 90.00 90.00 90.00°
Positions (direct):
1 Mg 0.000 0.000 0.000
2 I 0.000 0.000 0.500
3 I 0.000 0.500 0.000
4 I 0.500 0.000 0.000
5 Cl 0.500 0.500 0.500


Record 4
# MgIN2Cl

Crystalline MgIN2Cl at its relaxed geometry (GGA-PBE, Alexandria via LeMat-Bulk).

Results
Magnetic moment = 0.865 μB/atom
Energy above the most stable polymorph in this dataset = 0.000 eV per atom
Formation energy without anion corrections = 1212.8 meV/atom
DOS at the Fermi energy = 0.34 states/eV per atom

Cell: 4.283 4.283 6.392 Å, 90.00 90.00 90.00°
Positions (direct):
1 Mg 0.000 0.000 0.000
2 I 0.000 0.000 0.500
3 N 0.000 0.500 0.000
4 N 0.500 0.000 0.000
5 Cl 0.500 0.500 0.500


Record 5
# MgIN2Cl

Crystalline MgIN2Cl at its relaxed geometry (GGA-PBE, Alexandria via LeMat-Bulk).

Results
Magnetic moment = 0.311 μB/atom
Energy above the most stable polymorph in this dataset = 0.740 eV per atom
Formation energy without anion corrections = 1952.9 meV/atom
DOS at the Fermi energy = 0.54 states/eV per atom

Cell: 4.245 4.245 5.102 Å, 90.00 90.00 90.00°
Positions (direct):
1 Mg 0.000 0.000 0.000
2 I 0.500 0.500 0.000
3 N 0.000 0.500 0.500
4 N 0.500 0.000 0.500
5 Cl 0.500 0.500 0.500


Record 6
# Na2MgI2Cl2

Crystalline Na2MgI2Cl2 at its relaxed geometry (GGA-PBE, Alexandria via LeMat-Bulk).

Results
Magnetic moment = 0.000 μB/atom
Formation energy without anion corrections = -1423.1 meV/atom
DOS at the Fermi energy = 0.00 states/eV per atom

Cell: 9.337 9.337 9.337 Å, 149.50 149.50 43.68°
Positions (direct):
1 Na 0.136 0.136 0.000
2 Na 0.864 0.864 0.000
3 Mg 0.500 0.500 0.000
4 I 0.329 0.329 0.000
5 I 0.671 0.671 0.000
6 Cl 0.000 0.500 0.500
7 Cl 0.500 0.000 0.500


Record 7
# NaMgICl2

Crystalline NaMgICl2 at its relaxed geometry (GGA-PBE, Alexandria via LeMat-Bulk).

Results
Magnetic moment = 0.000 μB/atom
Formation energy without anion corrections = -1466.0 meV/atom
DOS at the Fermi energy = 0.00 states/eV per atom

Cell: 4.874 4.874 6.124 Å, 90.00 90.00 90.00°
Positions (direct):
1 Na 0.000 0.000 0.000
2 Mg 0.500 0.500 0.500
3 I 0.500 0.500 0.000
4 Cl 0.000 0.500 0.500
5 Cl 0.500 0.000 0.500


Record 8
# MgNiICl2

Crystalline MgNiICl2 at its relaxed geometry (GGA-PBE, Alexandria via LeMat-Bulk).

Results
Magnetic moment = 0.000 μB/atom
Formation energy without anion corrections = -438.3 meV/atom
DOS at the Fermi energy = 0.40 states/eV per atom

Cell: 4.423 4.423 6.127 Å, 90.00 90.00 90.00°
Positions (direct):
1 Mg 0.000 0.000 0.000
2 Ni 0.000 0.000 0.500
3 I 0.500 0.500 0.000
4 Cl 0.000 0.500 0.500
5 Cl 0.500 0.000 0.500


Record 9
# MgPICl2

Crystalline MgPICl2 at its relaxed geometry (GGA-PBE, Alexandria via LeMat-Bulk).

Results
Magnetic moment = 0.000 μB/atom
Energy above the most stable polymorph in this dataset = 0.811 eV per atom
Formation energy without anion corrections = 440.4 meV/atom
DOS at the Fermi energy = 0.38 states/eV per atom

Cell: 5.404 5.404 5.339 Å, 90.00 90.00 90.00°
Positions (direct):
1 Mg 0.000 0.000 0.000
2 P 0.500 0.500 0.000
3 I 0.500 0.500 0.500
4 Cl 0.000 0.500 0.500
5 Cl 0.500 0.000 0.500


Record 10
# MgPICl2

Crystalline MgPICl2 at its relaxed geometry (GGA-PBE, Alexandria via LeMat-Bulk).

Results
Magnetic moment = 0.273 μB/atom
Energy above the most stable polymorph in this dataset = 0.000 eV per atom
Formation energy without anion corrections = -370.8 meV/atom
DOS at the Fermi energy = 0.33 states/eV per atom

Cell: 4.586 4.586 8.158 Å, 90.00 90.00 90.00°
Positions (direct):
1 Mg 0.000 0.000 0.000
2 P 0.000 0.000 0.500
3 I 0.500 0.500 0.500
4 Cl 0.000 0.500 0.000
5 Cl 0.500 0.000 0.000


Record 11
# MgPb3I2Cl6

Crystalline MgPb3I2Cl6 at its relaxed geometry (GGA-PBE, Alexandria via LeMat-Bulk).

Results
Magnetic moment = 0.000 μB/atom
Formation energy without anion corrections = -1142.2 meV/atom
DOS at the Fermi energy = 0.00 states/eV per atom

Cell: 8.368 8.368 6.828 Å, 94.88 94.88 58.27°
Positions (direct):
1 Mg 0.000 0.000 0.000
2 Pb 0.000 0.500 0.000
3 Pb 0.500 0.000 0.000
4 Pb 0.500 0.500 0.500
5 I 0.304 0.304 0.668
6 I 0.696 0.696 0.332
7 Cl 0.150 0.150 0.200
8 Cl 0.171 0.699 0.214
9 Cl 0.301 0.829 0.786
10 Cl 0.699 0.171 0.214
11 Cl 0.829 0.301 0.786
12 Cl 0.850 0.850 0.800


Record 12
# Rb2MgI6Cl

Crystalline Rb2MgI6Cl at its relaxed geometry (GGA-PBE, Alexandria via LeMat-Bulk).

Results
Magnetic moment = 0.100 μB/atom
Formation energy without anion corrections = -752.6 meV/atom
DOS at the Fermi energy = 1.13 states/eV per atom

Cell: 8.605 8.605 8.605 Å, 116.80 116.80 95.63°
Positions (direct):
1 Rb 0.250 0.750 0.500
2 Rb 0.750 0.250 0.500
3 Mg 0.000 0.000 0.000
4 I 0.220 0.220 0.440
5 I 0.220 0.780 0.000
6 I 0.273 0.273 0.000
7 I 0.727 0.727 0.000
8 I 0.780 0.220 0.000
9 I 0.780 0.780 0.560
10 Cl 0.500 0.500 0.000


Record 13
# RbMgI2Cl

Crystalline RbMgI2Cl at its relaxed geometry (GGA-PBE, Alexandria via LeMat-Bulk).

Results
Magnetic moment = 0.000 μB/atom
Energy above the most stable polymorph in this dataset = 0.015 eV per atom
Formation energy without anion corrections = -1401.1 meV/atom
DOS at the Fermi energy = 0.00 states/eV per atom

Cell: 5.991 5.991 4.935 Å, 90.00 90.00 90.00°
Positions (direct):
1 Rb 0.000 0.000 0.000
2 Mg 0.500 0.500 0.500
3 I 0.000 0.500 0.500
4 I 0.500 0.000 0.500
5 Cl 0.500 0.500 0.000


Record 14
# RbMgICl2

Crystalline RbMgICl2 at its relaxed geometry (GGA-PBE, Alexandria via LeMat-Bulk).

Results
Magnetic moment = 0.000 μB/atom
Energy above the most stable polymorph in this dataset = 0.000 eV per atom
Formation energy without anion corrections = -1626.0 meV/atom
DOS at the Fermi energy = 0.00 states/eV per atom

Cell: 5.100 5.100 5.922 Å, 90.00 90.00 90.00°
Positions (direct):
1 Rb 0.000 0.000 0.000
2 Mg 0.500 0.500 0.500
3 I 0.500 0.500 0.000
4 Cl 0.000 0.500 0.500
5 Cl 0.500 0.000 0.500